Record 1
Density functional theory data (PBE) for an optimized crystal structure of In12Hg5Pb2.

## Properties
Symmetry: No. 12
Crystal system: monoclinic
Energy: -41.1 eV for the cell shown
Formation enthalpy at 0 K: 0.773 kcal/mol of atoms

Cell lengths 9.6639, 9.6639, 8.2713 Å; angles 102.12, 102.12, 44.87 degrees
Sites, in units of the cell vectors:
In1 0.0458 0.0458 0.1998
In2 0.0877 0.5409 0.7112
In3 0.1229 0.6584 0.1133
In4 0.3328 0.3328 0.3897
In5 0.3416 0.8771 0.8867
In6 0.4591 0.9123 0.2888
In7 0.5409 0.0877 0.7112
In8 0.6584 0.1229 0.1133
In9 0.6672 0.6672 0.6103
In10 0.8771 0.3416 0.8867
In11 0.9123 0.4591 0.2888
In12 0.9542 0.9542 0.8002
Hg1 0.1571 0.1571 0.5859
Hg2 0.2546 0.2546 0.0071
Hg3 0.5000 0.5000 0.0000
Hg4 0.7454 0.7454 0.9929
Hg5 0.8429 0.8429 0.4141
Pb1 0.2687 0.7313 0.5000
Pb2 0.7313 0.2687 0.5000

---

Record 2
Density functional theory data (PBE) for an optimized crystal structure of InHg2Pb.

## Properties
Symmetry: No. 71
Crystal system: orthorhombic
Energy: -7.0 eV for the cell shown
Formation enthalpy at 0 K: 0.559 kcal/mol of atoms

Cell lengths 6.1273, 6.1273, 6.1273 Å; angles 143.54, 124.16, 68.55 degrees
Sites, in units of the cell vectors:
In1 0.0000 0.0000 0.0000
Hg1 0.2410 0.7410 0.5000
Hg2 0.7590 0.2590 0.5000
Pb1 0.5000 0.5000 0.0000

---

Record 3
Density functional theory data (PBE) for an optimized crystal structure of In7Hg6Pb16.

## Properties
Symmetry: No. 225
Crystal system: cubic
Energy: -78.6 eV for the cell shown
Formation enthalpy at 0 K: 1.330 kcal/mol of atoms

Cell lengths 10.7575, 10.7575, 10.7575 Å; angles 60.00, 60.00, 60.00 degrees
Sites, in units of the cell vectors:
In1 0.0000 0.0000 0.0000
In2 0.0000 0.0000 0.5000
In3 0.0000 0.5000 0.0000
In4 0.0000 0.5000 0.5000
In5 0.5000 0.0000 0.0000
In6 0.5000 0.0000 0.5000
In7 0.5000 0.5000 0.0000
Hg1 0.2519 0.2519 0.7481
Hg2 0.2519 0.7481 0.2519
Hg3 0.2519 0.7481 0.7481
Hg4 0.7481 0.2519 0.2519
Hg5 0.7481 0.2519 0.7481
Hg6 0.7481 0.7481 0.2519
Pb1 0.1267 0.1267 0.1267
Pb2 0.1267 0.1267 0.6198
Pb3 0.1267 0.6198 0.1267
Pb4 0.1310 0.6230 0.6230
Pb5 0.3770 0.3770 0.3770
Pb6 0.3770 0.3770 0.8690
Pb7 0.3770 0.8690 0.3770
Pb8 0.3802 0.8733 0.8733
Pb9 0.6198 0.1267 0.1267
Pb10 0.6230 0.1310 0.6230
Pb11 0.6230 0.6230 0.1310
Pb12 0.6230 0.6230 0.6230
Pb13 0.8690 0.3770 0.3770
Pb14 0.8733 0.3802 0.8733
Pb15 0.8733 0.8733 0.3802
Pb16 0.8733 0.8733 0.8733

---

Record 4
Density functional theory data (PBE) for an optimized crystal structure of InHg7Pb4.

## Properties
Energy above the most stable polymorph in this dataset: 32.4 meV/atom
Symmetry: No. 12
Crystal system: monoclinic
Energy: -18.9 eV for the cell shown
Formation enthalpy at 0 K: 1.423 kcal/mol of atoms

Cell lengths 6.5481, 6.5481, 10.6150 Å; angles 97.40, 97.40, 51.18 degrees
Sites, in units of the cell vectors:
In1 0.0000 0.0000 0.0000
Hg1 0.1432 0.1432 0.4452
Hg2 0.2567 0.2567 0.1028
Hg3 0.3859 0.3859 0.3978
Hg4 0.5000 0.5000 0.0000
Hg5 0.6141 0.6141 0.6022
Hg6 0.7433 0.7433 0.8972
Hg7 0.8568 0.8568 0.5548
Pb1 0.0906 0.0906 0.7406
Pb2 0.3776 0.3776 0.7157
Pb3 0.6224 0.6224 0.2843
Pb4 0.9094 0.9094 0.2594

---

Please write out number 2 again, unchanged.
Density functional theory data (PBE) for an optimized crystal structure of InHg2Pb.

## Properties
Symmetry: No. 71
Crystal system: orthorhombic
Energy: -7.0 eV for the cell shown
Formation enthalpy at 0 K: 0.559 kcal/mol of atoms

Cell lengths 6.1273, 6.1273, 6.1273 Å; angles 143.54, 124.16, 68.55 degrees
Sites, in units of the cell vectors:
In1 0.0000 0.0000 0.0000
Hg1 0.2410 0.7410 0.5000
Hg2 0.7590 0.2590 0.5000
Pb1 0.5000 0.5000 0.0000

---

Look up the formation enthalpy at 0 K of the third one.
1.330 kcal/mol of atoms

---

The lowest energy belongs to which entry?
In7Hg6Pb16